{"formula": "CdAsRh2", "functional": "PBE-GGA", "state": "relaxed", "lattice": [[0.0000, 3.2049, 3.2049], [3.2049, 0.0000, 3.2049], [3.2049, 3.2049, 0.0000]], "species": ["Cd", "As", "Rh", "Rh"], "fractional_positions": [[0.0000, 0.0000, 0.0000], [0.7500, 0.7500, 0.7500], [0.2500, 0.2500, 0.2500], [0.5000, 0.5000, 0.5000]], "magnetic_moment_mub_per_atom": 0.0000, "e_above_lowest_polymorph_mev_per_atom": 409.1, "sg": "F-43m, No. 216", "ef_ev_per_atom": 0.15, "dos_at_fermi_per_ev_cell": 4.63, "mass_density_g_cm3": 9.9}

{"formula": "TmTiS2", "functional": "PBE-GGA", "state": "relaxed", "lattice": [[1.8526, 1.0696, 5.9436], [-1.8526, 1.0696, 5.9436], [0.0000, -2.1392, 5.9436]], "species": ["Tm", "Ti", "S", "S"], "fractional_positions": [[0.0000, 0.0000, 0.0000], [0.5000, 0.5000, 0.5000], [0.2431, 0.2431, 0.2431], [0.7569, 0.7569, 0.7569]], "magnetic_moment_mub_per_atom": 0.0001, "e_above_lowest_polymorph_mev_per_atom": 0.0, "raw_formation_energy_ev_per_atom": -1.55, "sg": "R-3m, No. 166", "dos_at_fermi_per_ev_cell": 2.21, "mass_density_g_cm3": 6.6}

{"formula": "ErMgPdO4", "functional": "PBE-GGA", "state": "relaxed", "lattice": [[-3.2419, 3.3002, 4.2720], [3.2419, -3.3002, 4.2720], [3.2419, 3.3002, -4.2720]], "species": ["Er", "Er", "Mg", "Mg", "Pd", "Pd", "O", "O", "O", "O", "O", "O", "O", "O"], "fractional_positions": [[0.0000, 0.0000, 0.0000], [0.5000, 0.0000, 0.5000], [0.3574, 0.6074, 0.7500], [0.6426, 0.3926, 0.2500], [0.0000, 0.0000, 0.5000], [0.0000, 0.5000, 0.0000], [0.2210, 0.7373, 0.4836], [0.2421, 0.2250, 0.4829], [0.2421, 0.7593, 0.0171], [0.2463, 0.2627, 0.9836], [0.7537, 0.7373, 0.0164], [0.7579, 0.2407, 0.9829], [0.7579, 0.7750, 0.5171], [0.7790, 0.2627, 0.5164]], "magnetic_moment_mub_per_atom": 0.1228, "raw_formation_energy_ev_per_atom": -2.08, "sg": "Imma, No. 74", "dos_at_fermi_per_ev_cell": 2.90, "mass_density_g_cm3": 6.6}

{"formula": "CdGeRh2", "functional": "PBE-GGA", "state": "relaxed", "lattice": [[1.5181, 0.8765, 8.1273], [-1.5181, 0.8765, 8.1273], [0.0000, -1.7530, 8.1273]], "species": ["Cd", "Ge", "Rh", "Rh"], "fractional_positions": [[0.0000, 0.0000, 0.0000], [0.5000, 0.5000, 0.5000], [0.2394, 0.2394, 0.2394], [0.7606, 0.7606, 0.7606]], "magnetic_moment_mub_per_atom": 0.0000, "sg": "R-3m, No. 166", "ef_ev_per_atom": -0.24, "dos_at_fermi_per_ev_cell": 4.09, "mass_density_g_cm3": 10.0}

{"formula": "Sc6ZnCd3", "functional": "PBE-GGA", "state": "relaxed", "lattice": [[8.5422, 0.0000, 0.0000], [0.0000, 4.9971, 0.0000], [-3.5536, 0.0000, 10.2756]], "species": ["Sc", "Sc", "Sc", "Sc", "Sc", "Sc", "Sc", "Sc", "Sc", "Sc", "Sc", "Sc", "Zn", "Zn", "Cd", "Cd", "Cd", "Cd", "Cd", "Cd"], "fractional_positions": [[0.0380, 0.2500, 0.4154], [0.1727, 0.7500, 0.1743], [0.2688, 0.2500, 0.0096], [0.3496, 0.7500, 0.8115], [0.3635, 0.2500, 0.3334], [0.4079, 0.2500, 0.6316], [0.5921, 0.7500, 0.3684], [0.6365, 0.7500, 0.6666], [0.6504, 0.2500, 0.1885], [0.7312, 0.7500, 0.9904], [0.8273, 0.2500, 0.8257], [0.9620, 0.7500, 0.5846], [0.4569, 0.7500, 0.0967], [0.5431, 0.2500, 0.9033], [0.0286, 0.7500, 0.8772], [0.1126, 0.2500, 0.7209], [0.2738, 0.7500, 0.4761], [0.7262, 0.2500, 0.5239], [0.8874, 0.7500, 0.2791], [0.9714, 0.2500, 0.1228]], "magnetic_moment_mub_per_atom": 0.0885, "sg": "P2_1/m, No. 11", "ef_ev_per_atom": -0.22, "dos_at_fermi_per_ev_cell": 21.17, "mass_density_g_cm3": 5.1}

{"formula": "RbMgCdAs", "functional": "PBE-GGA", "state": "relaxed", "lattice": [[4.4522, 0.0000, 0.0000], [0.0000, 4.4522, 0.0000], [0.0000, 0.0000, 13.3201]], "species": ["Rb", "Rb", "Mg", "Mg", "Cd", "Cd", "As", "As"], "fractional_positions": [[0.2500, 0.2500, 0.2389], [0.7500, 0.7500, 0.7611], [0.2500, 0.7500, 0.0000], [0.7500, 0.2500, 0.0000], [0.2500, 0.7500, 0.5000], [0.7500, 0.2500, 0.5000], [0.2500, 0.2500, 0.8840], [0.7500, 0.7500, 0.1160]], "magnetic_moment_mub_per_atom": 0.0000, "sg": "P4/nmm, No. 129", "ef_ev_per_atom": -0.40, "dos_at_fermi_per_ev_cell": 3.87, "mass_density_g_cm3": 3.7}

{"formula": "LaPr2Zr", "functional": "PBE-GGA", "state": "relaxed", "lattice": [[1.7312, 0.9995, 12.4050], [-1.7312, 0.9995, 12.4050], [0.0000, -1.9990, 12.4050]], "species": ["La", "Pr", "Pr", "Zr"], "fractional_positions": [[0.0000, 0.0000, 0.0000], [0.4160, 0.4160, 0.4160], [0.5840, 0.5840, 0.5840], [0.5000, 0.5000, 0.5000]], "magnetic_moment_mub_per_atom": 0.0000, "e_above_lowest_polymorph_mev_per_atom": 213.7, "sg": "R-3m, No. 166", "ef_ev_per_atom": 0.35, "dos_at_fermi_per_ev_cell": 5.63, "mass_density_g_cm3": 6.6}

{"formula": "TbHoIr2", "functional": "PBE-GGA", "state": "relaxed", "lattice": [[4.7363, 0.0000, 0.0000], [0.0000, 4.7363, 0.0000], [0.0000, 0.0000, 3.5830]], "species": ["Tb", "Ho", "Ir", "Ir"], "fractional_positions": [[0.0000, 0.0000, 0.0000], [0.5000, 0.5000, 0.0000], [0.0000, 0.5000, 0.5000], [0.5000, 0.0000, 0.5000]], "magnetic_moment_mub_per_atom": 0.0000, "e_above_lowest_polymorph_mev_per_atom": 0.0, "sg": "P4/mmm, No. 123", "ef_ev_per_atom": -0.82, "dos_at_fermi_per_ev_cell": 0.70, "mass_density_g_cm3": 14.6}